[1]
A plane-wave DFT calculation with GGA-PBE was carried out for a geometry-optimized ReBiAs structure. Values from VASP.

Geometry as Quantum ESPRESSO input:
```
&SYSTEM
  ibrav = 0, nat = 3, ntyp = 3
/
ATOMIC_SPECIES
As 74.92 As.upf
Bi 208.98 Bi.upf
Re 186.21 Re.upf
CELL_PARAMETERS angstrom
0.000 3.211 3.211
3.211 0.000 3.211
3.211 3.211 0.000
ATOMIC_POSITIONS angstrom
As 1.605 1.605 1.605
Bi 4.816 4.816 4.816
Re 0.000 0.000 0.000
```

Values from the calculation:
offset from the most stable computed form = 0 meV per atom

---

[2]
A plane-wave DFT calculation with GGA-PBE was carried out for a geometry-optimized Zr4BiSbAs2 structure. Values from VASP.

Geometry as Quantum ESPRESSO input:
```
&SYSTEM
  ibrav = 0, nat = 8, ntyp = 4
/
ATOMIC_SPECIES
Zr 91.22 Zr.upf
As 74.92 As.upf
Sb 121.76 Sb.upf
Bi 208.98 Bi.upf
CELL_PARAMETERS angstrom
-0.832 3.655 -1.254
-2.727 -2.849 -0.267
-4.558 3.204 12.367
ATOMIC_POSITIONS angstrom
Zr -5.052 1.398 7.427
Zr -3.916 2.753 10.626
Zr -3.696 0.445 3.749
Zr -0.642 0.451 1.741
As -4.896 3.900 8.390
As -2.588 2.278 2.128
Sb -2.095 -0.681 -0.596
Bi -2.279 1.602 6.184
```

Values from the calculation:
energy = -0.5408 Ry per atom

---

[3]
A plane-wave DFT calculation with GGA-PBE was carried out for a geometry-optimized SmBiAs structure. Values from VASP.

Geometry as Quantum ESPRESSO input:
```
&SYSTEM
  ibrav = 0, nat = 3, ntyp = 3
/
ATOMIC_SPECIES
Sm 150.36 Sm.upf
Bi 208.98 Bi.upf
As 74.92 As.upf
CELL_PARAMETERS angstrom
-1.852 -4.258 -2.171
-1.800 -3.798 2.933
-5.032 -0.967 0.138
ATOMIC_POSITIONS angstrom
Sm 0.000 0.000 0.000
Bi -6.512 -6.767 0.675
As -2.171 -2.256 0.225
```

Values from the calculation:
offset from the most stable computed form = 178 meV per atom

---

[4]
A plane-wave DFT calculation with GGA-PBE was carried out for a geometry-optimized SmBiAs structure. Values from VASP.

Geometry as Quantum ESPRESSO input:
```
&SYSTEM
  ibrav = 0, nat = 3, ntyp = 3
/
ATOMIC_SPECIES
Sm 150.36 Sm.upf
Bi 208.98 Bi.upf
As 74.92 As.upf
CELL_PARAMETERS angstrom
0.000 3.536 3.536
3.536 0.000 3.536
3.536 3.536 0.000
ATOMIC_POSITIONS angstrom
Sm 5.304 5.304 5.304
Bi 1.768 1.768 1.768
As 0.000 0.000 0.000
```

Values from the calculation:
offset from the most stable computed form = 0 meV per atom

---

[5]
A plane-wave DFT calculation with GGA-PBE was carried out for a geometry-optimized Sm3BiAs2 structure. Values from VASP.

Geometry as Quantum ESPRESSO input:
```
&SYSTEM
  ibrav = 0, nat = 6, ntyp = 3
/
ATOMIC_SPECIES
As 74.92 As.upf
Bi 208.98 Bi.upf
Sm 150.36 Sm.upf
CELL_PARAMETERS angstrom
-4.039 -0.214 -1.420
1.020 -1.656 3.821
-2.138 9.434 4.659
ATOMIC_POSITIONS angstrom
As -1.005 0.319 2.812
As -4.153 7.244 4.248
Bi -1.069 4.717 2.329
Sm -3.020 2.246 1.779
Sm -2.138 5.318 5.280
Sm 0.000 0.000 0.000
```

Values from the calculation:
energy = -0.4336 Ry per atom

---

[6]
A plane-wave DFT calculation with GGA-PBE was carried out for a geometry-optimized Sr2ZnBiAs structure. Values from VASP.

Geometry as Quantum ESPRESSO input:
```
&SYSTEM
  ibrav = 0, nat = 10, ntyp = 4
/
ATOMIC_SPECIES
Sr 87.62 Sr.upf
Bi 208.98 Bi.upf
As 74.92 As.upf
Zn 65.41 Zn.upf
CELL_PARAMETERS angstrom
3.267 7.462 -4.677
-4.056 -8.467 0.308
-6.631 3.193 0.462
ATOMIC_POSITIONS angstrom
Sr -2.215 -3.342 -1.203
Sr -5.717 1.699 -1.730
Sr -2.734 4.340 -2.876
Sr -2.129 0.695 -2.147
Bi 0.602 2.315 -3.012
Bi -5.195 -1.488 -1.091
As -7.374 -5.661 0.262
As 2.355 6.693 -4.335
Zn -0.182 7.251 -4.006
Zn -9.411 -4.016 0.251
```

Values from the calculation:
energy = -0.2562 Ry per atom

---

[7]
A plane-wave DFT calculation with GGA-PBE was carried out for a geometry-optimized TcBiAs structure. Values from VASP.

Geometry as Quantum ESPRESSO input:
```
&SYSTEM
  ibrav = 0, nat = 3, ntyp = 3
/
ATOMIC_SPECIES
Tc 98.00 Tc.upf
Bi 208.98 Bi.upf
As 74.92 As.upf
CELL_PARAMETERS angstrom
0.000 3.200 3.200
3.200 0.000 3.200
3.200 3.200 0.000
ATOMIC_POSITIONS angstrom
Tc 0.000 0.000 0.000
Bi 4.800 4.800 4.800
As 1.600 1.600 1.600
```

Values from the calculation:
offset from the most stable computed form = 0 meV per atom

---

[8]
A plane-wave DFT calculation with GGA-PBE was carried out for a geometry-optimized TcBiAs2 structure. Values from VASP.

Geometry as Quantum ESPRESSO input:
```
&SYSTEM
  ibrav = 0, nat = 4, ntyp = 3
/
ATOMIC_SPECIES
Bi 208.98 Bi.upf
As 74.92 As.upf
Tc 98.00 Tc.upf
CELL_PARAMETERS angstrom
2.393 1.381 3.907
-2.393 1.381 3.907
0.000 -2.763 3.907
ATOMIC_POSITIONS angstrom
Bi 0.000 0.000 2.930
As 0.000 0.000 8.791
As 0.000 0.000 5.861
Tc 0.000 0.000 0.000
```

Values from the calculation:
energy = -0.3889 Ry per atom

---

[9]
A plane-wave DFT calculation with GGA-PBE was carried out for a geometry-optimized TmBiAs structure. Values from VASP.

Geometry as Quantum ESPRESSO input:
```
&SYSTEM
  ibrav = 0, nat = 3, ntyp = 3
/
ATOMIC_SPECIES
As 74.92 As.upf
Tm 168.93 Tm.upf
Bi 208.98 Bi.upf
CELL_PARAMETERS angstrom
-1.253 -4.297 -2.270
-4.508 -0.480 -2.151
-0.388 -0.176 -5.000
ATOMIC_POSITIONS angstrom
As -1.537 -1.238 -2.355
Tm 0.000 0.000 0.000
Bi -4.612 -3.714 -7.066
```

Values from the calculation:
offset from the most stable computed form = 40 meV per atom

---

[10]
A plane-wave DFT calculation with GGA-PBE was carried out for a geometry-optimized TmBiAs structure. Values from VASP.

Geometry as Quantum ESPRESSO input:
```
&SYSTEM
  ibrav = 0, nat = 3, ntyp = 3
/
ATOMIC_SPECIES
Tm 168.93 Tm.upf
As 74.92 As.upf
Bi 208.98 Bi.upf
CELL_PARAMETERS angstrom
0.000 3.483 3.483
3.483 0.000 3.483
3.483 3.483 0.000
ATOMIC_POSITIONS angstrom
Tm 5.225 5.225 5.225
As 0.000 0.000 0.000
Bi 1.742 1.742 1.742
```

Values from the calculation:
offset from the most stable computed form = 0 meV per atom

---

[11]
A plane-wave DFT calculation with GGA-PBE was carried out for a geometry-optimized Tm3Bi2As structure. Values from VASP.

Geometry as Quantum ESPRESSO input:
```
&SYSTEM
  ibrav = 0, nat = 6, ntyp = 3
/
ATOMIC_SPECIES
Bi 208.98 Bi.upf
As 74.92 As.upf
Tm 168.93 Tm.upf
CELL_PARAMETERS angstrom
-1.285 3.702 -1.692
-1.959 -3.635 -1.081
-6.855 1.300 8.048
ATOMIC_POSITIONS angstrom
Bi -6.138 2.134 3.945
Bi -3.961 -0.767 1.329
As 0.000 0.000 0.000
Tm -7.587 -0.080 5.587
Tm -2.511 1.446 -0.313
Tm -3.428 0.650 4.024
```

Values from the calculation:
energy = -0.3946 Ry per atom

---

[12]
A plane-wave DFT calculation with GGA-PBE was carried out for a geometry-optimized UBiAs structure. Values from VASP.

Geometry as Quantum ESPRESSO input:
```
&SYSTEM
  ibrav = 0, nat = 3, ntyp = 3
/
ATOMIC_SPECIES
As 74.92 As.upf
Bi 208.98 Bi.upf
U 238.03 U.upf
CELL_PARAMETERS angstrom
0.000 3.528 3.528
3.528 0.000 3.528
3.528 3.528 0.000
ATOMIC_POSITIONS angstrom
As 1.764 1.764 1.764
Bi 5.291 5.291 5.291
U 0.000 0.000 0.000
```

Values from the calculation:
energy = -0.4780 Ry per atom

---

[13]
A plane-wave DFT calculation with GGA-PBE was carried out for a geometry-optimized ZnBi2As structure. Values from VASP.

Geometry as Quantum ESPRESSO input:
```
&SYSTEM
  ibrav = 0, nat = 4, ntyp = 3
/
ATOMIC_SPECIES
Bi 208.98 Bi.upf
Zn 65.41 Zn.upf
As 74.92 As.upf
CELL_PARAMETERS angstrom
0.000 3.708 3.708
3.708 0.000 3.708
3.708 3.708 0.000
ATOMIC_POSITIONS angstrom
Bi 1.854 1.854 1.854
Bi 0.000 0.000 0.000
Zn 3.708 3.708 3.708
As 5.561 5.561 5.561
```

Values from the calculation:
energy = -0.2353 Ry per atom

---

[14]
A plane-wave DFT calculation with GGA-PBE was carried out for a geometry-optimized ZrBiAs2 structure. Values from VASP.

Geometry as Quantum ESPRESSO input:
```
&SYSTEM
  ibrav = 0, nat = 4, ntyp = 3
/
ATOMIC_SPECIES
As 74.92 As.upf
Bi 208.98 Bi.upf
Zr 91.22 Zr.upf
CELL_PARAMETERS angstrom
0.000 3.559 3.559
3.559 0.000 3.559
3.559 3.559 0.000
ATOMIC_POSITIONS angstrom
As 0.000 0.000 0.000
As 1.780 1.780 1.780
Bi 5.339 5.339 5.339
Zr 3.559 3.559 3.559
```

Values from the calculation:
energy = -0.3880 Ry per atom

---

[15]
A plane-wave DFT calculation with GGA-PBE was carried out for a geometry-optimized Pr4AsCBr2 structure. Values from VASP.

Geometry as Quantum ESPRESSO input:
```
&SYSTEM
  ibrav = 0, nat = 8, ntyp = 4
/
ATOMIC_SPECIES
As 74.92 As.upf
Br 79.90 Br.upf
Pr 140.91 Pr.upf
C 12.01 C.upf
CELL_PARAMETERS angstrom
3.984 0.000 0.000
-1.992 3.450 0.000
0.000 0.000 15.451
ATOMIC_POSITIONS angstrom
As 0.000 0.000 7.725
Br 1.992 1.150 11.764
Br 0.000 2.300 3.687
Pr 0.000 2.300 14.096
Pr 1.992 1.150 1.354
Pr 0.000 2.300 9.460
Pr 1.992 1.150 5.991
C 0.000 0.000 0.000
```

Values from the calculation:
energy = -0.4162 Ry per atom

---

[16]
A plane-wave DFT calculation with GGA-PBE was carried out for a geometry-optimized Cd4As2Br3 structure. Values from VASP.

Geometry as Quantum ESPRESSO input:
```
&SYSTEM
  ibrav = 0, nat = 72, ntyp = 3
/
ATOMIC_SPECIES
Cd 112.41 Cd.upf
Br 79.90 Br.upf
As 74.92 As.upf
CELL_PARAMETERS angstrom
12.766 0.000 0.000
0.000 12.766 0.000
0.000 0.000 12.766
ATOMIC_POSITIONS angstrom
Cd 3.576 9.191 2.808
Cd 0.172 9.595 12.441
Cd 3.171 6.058 6.211
Cd 6.555 9.555 0.325
Cd 3.212 12.441 6.211
Cd 12.594 3.171 0.325
Cd 6.058 0.172 9.555
Cd 6.211 3.212 12.441
Cd 9.555 6.058 0.172
Cd 6.058 6.211 3.171
Cd 3.212 6.708 12.594
Cd 6.555 9.595 6.708
Cd 9.959 9.191 3.576
Cd 6.708 12.594 3.212
Cd 6.708 6.555 9.595
Cd 9.595 6.708 6.555
Cd 12.441 0.172 9.595
Cd 9.959 9.959 9.959
Cd 3.171 0.325 12.594
Cd 0.325 12.594 3.171
Cd 9.555 0.325 6.555
Cd 2.808 2.808 2.808
Cd 9.191 2.808 3.576
Cd 9.595 12.441 0.172
Cd 0.325 6.555 9.555
Cd 3.576 9.959 9.191
Cd 12.441 6.211 3.212
Cd 0.172 9.555 6.058
Cd 9.191 3.576 9.959
Cd 2.808 3.576 9.191
Cd 12.594 3.212 6.708
Cd 6.211 3.171 6.058
Br 10.363 7.252 9.408
Br 3.358 3.980 11.898
Br 5.515 3.358 2.403
Br 8.787 0.869 9.408
Br 10.363 11.898 3.025
Br 3.980 7.252 9.742
Br 3.025 10.363 11.898
Br 0.869 9.742 2.403
Br 7.252 9.742 3.980
Br 2.403 0.869 9.742
Br 3.980 11.898 3.358
Br 2.403 5.515 3.358
Br 7.252 9.408 10.363
Br 3.358 2.403 5.515
Br 9.408 10.363 7.252
Br 9.742 3.980 7.252
Br 9.408 8.787 0.869
Br 3.025 8.787 5.515
Br 11.898 3.358 3.980
Br 11.898 3.025 10.363
Br 8.787 5.515 3.025
Br 5.515 3.025 8.787
Br 0.869 9.408 8.787
Br 9.742 2.403 0.869
As 1.312 1.312 1.312
As 1.312 5.072 7.695
As 7.695 5.072 11.455
As 0.699 12.068 5.684
As 5.072 11.455 7.695
As 12.068 5.684 0.699
As 5.072 7.695 1.312
As 0.699 7.082 12.068
As 12.068 0.699 7.082
As 5.684 5.684 5.684
As 11.455 7.695 5.072
As 11.455 11.455 11.455
As 5.684 0.699 12.068
As 7.695 1.312 5.072
As 7.082 12.068 0.699
As 7.082 7.082 7.082
```

Values from the calculation:
energy = -0.1833 Ry per atom

---

[17]
A plane-wave DFT calculation with GGA-PBE was carried out for a geometry-optimized CdHg6As4Br6 structure. Values from VASP.

Geometry as Quantum ESPRESSO input:
```
&SYSTEM
  ibrav = 0, nat = 68, ntyp = 4
/
ATOMIC_SPECIES
Hg 200.59 Hg.upf
As 74.92 As.upf
Br 79.90 Br.upf
Cd 112.41 Cd.upf
CELL_PARAMETERS angstrom
12.681 0.000 0.000
0.000 12.681 0.000
0.000 0.000 12.681
ATOMIC_POSITIONS angstrom
Hg 9.966 3.560 12.380
Hg 9.900 6.642 2.715
Hg 3.626 3.560 6.642
Hg 6.642 2.715 9.900
Hg 9.122 0.302 2.715
Hg 3.560 12.380 9.966
Hg 3.560 6.642 3.626
Hg 2.715 9.900 6.642
Hg 9.122 6.039 9.056
Hg 6.642 3.626 3.560
Hg 2.715 9.122 0.302
Hg 12.380 9.056 9.900
Hg 6.039 9.056 9.122
Hg 12.380 9.966 3.560
Hg 3.626 2.781 0.302
Hg 9.966 2.781 6.039
Hg 0.302 3.626 2.781
Hg 2.781 0.302 3.626
Hg 9.056 9.122 6.039
Hg 9.056 9.900 12.380
Hg 2.781 6.039 9.966
Hg 9.900 12.380 9.056
Hg 0.302 2.715 9.122
Hg 6.039 9.966 2.781
As 3.586 9.095 2.755
As 10.513 4.173 2.168
As 9.095 2.755 3.586
As 9.095 3.586 9.927
As 9.927 9.095 3.586
As 2.168 10.513 4.173
As 4.173 2.168 10.513
As 8.509 8.509 8.509
As 3.586 9.927 9.095
As 4.173 4.173 4.173
As 9.927 9.927 9.927
As 2.755 2.755 2.755
As 8.509 10.513 2.168
As 2.168 8.509 10.513
As 2.755 3.586 9.095
As 10.513 2.168 8.509
Br 6.819 12.280 9.111
Br 12.203 0.401 2.770
Br 0.479 12.280 9.911
Br 12.280 9.111 6.819
Br 0.479 6.742 3.571
Br 2.770 6.819 6.742
Br 3.571 5.862 0.401
Br 9.911 0.479 12.280
Br 3.571 0.479 6.742
Br 12.280 9.911 0.479
Br 9.911 5.862 5.939
Br 0.401 3.571 5.862
Br 5.939 9.911 5.862
Br 6.742 2.770 6.819
Br 9.111 12.203 5.939
Br 5.939 9.111 12.203
Br 5.862 5.939 9.911
Br 12.203 5.939 9.111
Br 6.742 3.571 0.479
Br 9.111 6.819 12.280
Br 0.401 2.770 12.203
Br 6.819 6.742 2.770
Br 2.770 12.203 0.401
Br 5.862 0.401 3.571
Cd 0.000 6.341 6.341
Cd 6.341 0.000 6.341
Cd 6.341 6.341 0.000
Cd 0.000 0.000 0.000
```

Values from the calculation:
energy = -0.1623 Ry per atom

---

[18]
A plane-wave DFT calculation with GGA-PBE was carried out for a geometry-optimized Dy2AsBrCl structure. Values from VASP.

Geometry as Quantum ESPRESSO input:
```
&SYSTEM
  ibrav = 0, nat = 5, ntyp = 4
/
ATOMIC_SPECIES
Br 79.90 Br.upf
As 74.92 As.upf
Dy 162.50 Dy.upf
Cl 35.45 Cl.upf
CELL_PARAMETERS angstrom
-3.385 2.143 0.456
0.267 -2.747 -2.941
-3.579 -6.968 6.183
ATOMIC_POSITIONS angstrom
Br -2.997 -5.835 5.178
As -3.942 -2.941 2.389
Dy -3.298 -5.687 2.247
Dy -1.202 -2.340 2.076
Cl -1.577 -2.337 -0.725
```

Values from the calculation:
energy = -0.3868 Ry per atom

---

[19]
A plane-wave DFT calculation with GGA-PBE was carried out for a geometry-optimized Er2AsBrCl structure. Values from VASP.

Geometry as Quantum ESPRESSO input:
```
&SYSTEM
  ibrav = 0, nat = 5, ntyp = 4
/
ATOMIC_SPECIES
Er 167.26 Er.upf
Cl 35.45 Cl.upf
Br 79.90 Br.upf
As 74.92 As.upf
CELL_PARAMETERS angstrom
4.007 0.000 0.000
-2.003 3.470 0.000
0.000 0.000 10.364
ATOMIC_POSITIONS angstrom
Er 0.000 2.313 1.604
Er 2.003 1.157 8.839
Cl 2.003 1.157 3.192
Br 0.000 2.313 7.048
As 0.000 0.000 0.044
```

Values from the calculation:
energy = -0.3838 Ry per atom

---

[20]
A plane-wave DFT calculation with GGA-PBE was carried out for a geometry-optimized Gd3AsBrCl2 structure. Values from VASP.

Geometry as Quantum ESPRESSO input:
```
&SYSTEM
  ibrav = 0, nat = 7, ntyp = 4
/
ATOMIC_SPECIES
As 74.92 As.upf
Gd 157.25 Gd.upf
Cl 35.45 Cl.upf
Br 79.90 Br.upf
CELL_PARAMETERS angstrom
5.750 0.000 0.000
0.000 5.750 0.000
0.000 0.000 5.649
ATOMIC_POSITIONS angstrom
As 0.000 0.000 0.000
Gd 0.000 2.875 0.000
Gd 0.000 0.000 2.825
Gd 2.875 0.000 0.000
Cl 2.875 0.000 2.825
Cl 0.000 2.875 2.825
Br 2.875 2.875 0.000
```

Values from the calculation:
energy = -0.3666 Ry per atom

---

[21]
A plane-wave DFT calculation with GGA-PBE was carried out for a geometry-optimized Pr3AsBrCl2 structure. Values from VASP.

Geometry as Quantum ESPRESSO input:
```
&SYSTEM
  ibrav = 0, nat = 7, ntyp = 4
/
ATOMIC_SPECIES
Cl 35.45 Cl.upf
Pr 140.91 Pr.upf
Br 79.90 Br.upf
As 74.92 As.upf
CELL_PARAMETERS angstrom
-1.103 0.728 -5.805
-4.104 -4.306 0.240
-4.107 3.986 1.280
ATOMIC_POSITIONS angstrom
Cl -2.605 2.357 -2.262
Cl -4.106 -0.160 0.760
Pr -2.052 -2.153 0.120
Pr -0.552 0.364 -2.902
Pr -2.054 1.993 0.640
Br -2.604 -1.789 -2.783
As 0.000 0.000 0.000
```

Values from the calculation:
energy = -0.3748 Ry per atom